# Sm3YNi2

A relaxed structure of Sm3YNi2 (GGA-PBE, the Alexandria database).

a b c (Å): 16.364 3.935 11.592
angles (deg): 90.00 123.69 90.00
Space group C2/m (No. 12)
Inequivalent atoms, fractional coordinates:
Sm  0.081  0.000  0.443 [4 per cell]
Sm  0.083  0.000  0.939 [4 per cell]
Sm  0.155  0.500  0.248 [4 per cell]
Y  0.156  0.500  0.748 [4 per cell]
Ni  0.232  0.500  0.048 [4 per cell]
Ni  0.232  0.500  0.551 [4 per cell]

Computed properties:
Density (g cm⁻³): 7.03
Calculated volume (A^3/atom): 25.88
ΔH_f (0 K) (eV per atom): -0.25
DOS at the Fermi energy (states/eV/f.u.): 7.43
E_tot (eV/atom): -5.614
Total magnetization (Bohr magnetons per cell): 0.000